P.
TePRu2 | PBE | relaxed

Calculated values
V ... 16.50 A^3/atom
Calculated density ... 9.1 g/cm3
M_tot ... 0.00 μB per formula unit

Unit cell a=3.1391 b=4.0984 c=5.1305 alpha=90.00 beta=90.00 gamma=90.00
Closest atoms and distances in Å follow each position.
Fractional coordinates of all 4 atoms:
1 Te 0.0000 0.0000 0.0000  4 Ru 2.58
2 P 0.5000 0.0000 0.5000  4 Ru 2.58
3 Ru 0.0000 0.5000 0.5000  4 P 2.58
4 Ru 0.5000 0.5000 0.0000  4 Te 2.58

Q.
TePRu2 | PBE | relaxed

Calculated values
V ... 19.03 A^3/atom
Calculated density ... 7.9 g/cm3
M_tot ... 0.00 μB per formula unit

Unit cell a=9.6747 b=9.6747 c=9.6747 alpha=18.07 beta=18.07 gamma=18.07
Closest atoms and distances in Å follow each position.
Fractional coordinates of all 4 atoms:
1 Te 0.0000 0.0000 0.0000  3 Ru 2.65
2 P 0.2034 0.2034 0.2034  3 Ru 2.34
3 Ru 0.4825 0.4825 0.4825  3 P 2.34
4 Ru 0.7363 0.7363 0.7363  3 Te 2.65, 3 Ru 2.87

Of them, Q has the highest stability.

P.
TePRu2 | PBE | relaxed

Calculated values
V ... 17.11 A^3/atom
Calculated density ... 8.8 g/cm3
M_tot ... 0.00 μB per formula unit

Unit cell a=7.1892 b=7.1892 c=7.1892 alpha=155.19 beta=153.93 gamma=36.29
Closest atoms and distances in Å follow each position.
Fractional coordinates of all 4 atoms:
1 Te 0.0000 0.0000 0.0000  6 Ru 2.78-3.07, 2 Te 3.09
2 P 0.7497 0.2497 0.5000  6 Ru 2.35-2.38
3 Ru 0.3091 0.8091 0.5000  4 P 2.38
4 Ru 0.6202 0.6202 0.0000  2 P 2.35

Q.
TePRu2 | PBE | relaxed

Calculated values
V ... 16.77 A^3/atom
Calculated density ... 8.9 g/cm3
M_tot ... 0.00 μB per formula unit

Unit cell a=3.0914 b=3.7358 c=5.8101 alpha=90.00 beta=90.00 gamma=90.00
Closest atoms and distances in Å follow each position.
Fractional coordinates of all 4 atoms:
1 Te 0.0000 0.0000 0.0000  5 Ru 2.68-2.79
2 P 0.5000 0.5000 0.4188  5 Ru 2.25-2.45
3 Ru 0.0000 0.0000 0.4810  4 P 2.45
4 Ru 0.5000 0.5000 0.8054  1 P 2.25

R.
TePRu2 | PBE | relaxed

Calculated values
V ... 17.14 A^3/atom
Calculated density ... 8.7 g/cm3
M_tot ... 0.00 μB per formula unit

Unit cell a=3.1613 b=3.4819 c=6.3709 alpha=90.00 beta=102.13 gamma=90.00
Closest atoms and distances in Å follow each position.
Fractional coordinates of all 4 atoms:
1 Te 0.0000 0.0000 0.0000  8 Ru 3.00-3.01, 2 Te 3.16, 2 P 3.24
2 P 0.5000 0.0000 0.5000  4 Ru 2.25
3 Ru 0.3692 0.5000 0.7001  2 P 2.25
4 Ru 0.6308 0.5000 0.2999  2 P 2.25

Of them, P has the highest stability.

P.
TePRu2 | PBE | relaxed

Calculated values
V ... 16.35 A^3/atom
Calculated density ... 9.2 g/cm3
M_tot ... 0.00 μB per formula unit

Unit cell a=4.5225 b=4.5225 c=4.5225 alpha=60.00 beta=60.00 gamma=60.00
Closest atoms and distances in Å follow each position.
Fractional coordinates of all 4 atoms:
1 Te 0.0000 0.0000 0.0000  4 Ru 2.77, 4 P 2.77
2 P 0.2500 0.2500 0.2500  4 Te 2.77, 4 Ru 2.77
3 Ru 0.5000 0.5000 0.5000  4 Ru 2.77, 4 P 2.77
4 Ru 0.7500 0.7500 0.7500  4 Ru 2.77, 4 Te 2.77

Q.
TePRu2 | PBE | relaxed

Calculated values
V ... 18.10 A^3/atom
Calculated density ... 8.3 g/cm3
M_tot ... 0.00 μB per formula unit

Unit cell a=3.0276 b=3.0276 c=7.8970 alpha=90.00 beta=90.00 gamma=90.00
Closest atoms and distances in Å follow each position.
Fractional coordinates of all 4 atoms:
1 Te 0.0000 0.0000 0.0000  4 Ru 2.65
2 P 0.5000 0.5000 0.4024  4 Ru 2.42
3 Ru 0.0000 0.0000 0.5456  4 P 2.42
4 Ru 0.5000 0.5000 0.8028  4 Te 2.65, 4 Ru 2.95

R.
TePRu2 | PBE | relaxed

Calculated values
V ... 15.88 A^3/atom
Calculated density ... 9.4 g/cm3
M_tot ... 0.00 μB per formula unit

Unit cell a=5.2597 b=5.2597 c=5.2597 alpha=138.37 beta=138.37 gamma=60.33
Closest atoms and distances in Å follow each position.
Fractional coordinates of all 4 atoms:
1 Te 0.0000 0.0000 0.0000  8 Ru 2.64-2.94, 4 P 2.94
2 P 0.2500 0.7500 0.5000  8 Ru 2.64-2.94, 4 Te 2.94
3 Ru 0.5000 0.5000 0.0000  4 Te 2.64, 4 Ru 2.94, 4 P 2.94
4 Ru 0.7500 0.2500 0.5000  4 P 2.64, 4 Ru 2.94, 4 Te 2.94

Of them, Q has the highest stability.

P.
TePRu2 | PBE | relaxed

Calculated values
V ... 21.03 A^3/atom
Calculated density ... 7.1 g/cm3
M_tot ... 0.00 μB per formula unit

Unit cell a=6.8864 b=6.8864 c=6.8864 alpha=133.63 beta=133.63 gamma=67.67
Closest atoms and distances in Å follow each position.
Fractional coordinates of all 8 atoms:
1 Te 0.0000 0.0000 0.0000  4 Ru 2.57
2 Te 0.7500 0.2500 0.5000  4 Ru 2.57
3 P 0.2500 0.7500 0.5000  4 Ru 2.24
4 P 0.5000 0.5000 0.0000  4 Ru 2.24
5 Ru 0.1803 0.6250 0.0553  2 P 2.24
6 Ru 0.3750 0.4303 0.5553  2 P 2.24
7 Ru 0.5697 0.1250 0.9447  2 P 2.24
8 Ru 0.8750 0.8197 0.4447  2 P 2.24

Q.
TePRu2 | PBE | relaxed

Calculated values
V ... 23.54 A^3/atom
Calculated density ... 6.4 g/cm3
M_tot ... 0.00 μB per formula unit

Unit cell a=4.0095 b=4.0117 c=5.8552 alpha=90.00 beta=90.69 gamma=90.00
Closest atoms and distances in Å follow each position.
Fractional coordinates of all 4 atoms:
1 Te 0.0000 0.0000 0.0000  4 Ru 2.61
2 P 0.4914 0.5000 0.5216  4 Ru 2.30
3 Ru 0.4949 0.0000 0.7147  2 P 2.30
4 Ru 0.9949 0.5000 0.7148  2 P 2.30

R.
TePRu2 | PBE | relaxed

Calculated values
V ... 15.63 A^3/atom
Calculated density ... 9.6 g/cm3
M_tot ... 0.93 μB per formula unit

Unit cell a=4.4553 b=4.4553 c=4.4553 alpha=60.00 beta=60.00 gamma=60.00
Closest atoms and distances in Å follow each position.
Fractional coordinates of all 4 atoms:
1 Te 0.0000 0.0000 0.0000  8 Ru 2.73
2 P 0.5000 0.5000 0.5000  8 Ru 2.73
3 Ru 0.2500 0.2500 0.2500  4 Te 2.73, 4 P 2.73
4 Ru 0.7500 0.7500 0.7500  4 Te 2.73, 4 P 2.73

S.
TePRu2 | PBE | relaxed

Calculated values
V ... 15.62 A^3/atom
Calculated density ... 9.6 g/cm3
M_tot ... 0.00 μB per formula unit

Unit cell a=3.0148 b=3.0148 c=6.8748 alpha=90.00 beta=90.00 gamma=90.00
Closest atoms and distances in Å follow each position.
Fractional coordinates of all 4 atoms:
1 Te 0.0000 0.0000 0.0000  8 Ru 2.98, 4 Te 3.01
2 P 0.0000 0.0000 0.5000  8 Ru 2.53
3 Ru 0.5000 0.5000 0.3021  4 P 2.53, 1 Ru 2.72
4 Ru 0.5000 0.5000 0.6979  4 P 2.53, 1 Ru 2.72

Of them, Q has the highest stability.

P.
TePRu2 | PBE | relaxed

Calculated values
V ... 16.00 A^3/atom
Calculated density ... 9.4 g/cm3
M_tot ... 0.00 μB per formula unit

Unit cell a=7.9159 b=7.9159 c=7.9159 alpha=22.55 beta=22.55 gamma=22.55
Closest atoms and distances in Å follow each position.
Fractional coordinates of all 4 atoms:
1 Te 0.0000 0.0000 0.0000  6 Ru 2.85, 6 Te 3.10
2 P 0.5000 0.5000 0.5000  6 Ru 2.43
3 Ru 0.2376 0.2376 0.2376  3 P 2.43
4 Ru 0.7624 0.7624 0.7624  3 P 2.43

Q.
TePRu2 | PBE | relaxed

Calculated values
V ... 17.55 A^3/atom
Calculated density ... 8.5 g/cm3
M_tot ... 0.00 μB per formula unit

Unit cell a=4.2596 b=4.2596 c=5.6823 alpha=97.92 beta=97.92 gamma=43.51
Closest atoms and distances in Å follow each position.
Fractional coordinates of all 4 atoms:
1 Te 0.0000 0.0000 0.0000  5 Ru 2.68-2.77
2 P 0.2023 0.2023 0.5404  5 Ru 2.29-2.33
3 Ru 0.4954 0.4954 0.5979  3 P 2.29-2.33
4 Ru 0.7421 0.7421 0.2557  2 P 2.31

Of them, Q has the highest stability.

P.
TePRu | PBE | relaxed

Calculated values
V ... 23.71 A^3/atom
Calculated density ... 6.1 g/cm3
M_tot ... 0.00 μB per formula unit

Unit cell a=3.6451 b=3.6451 c=6.1811 alpha=90.00 beta=90.00 gamma=120.00
Closest atoms and distances in Å follow each position.
Fractional coordinates of all 3 atoms:
1 Te 0.0000 0.0000 0.0000  3 Ru 2.82
2 P 0.6667 0.3333 0.5681  3 Ru 2.25
3 Ru 0.3333 0.6667 0.6955  3 P 2.25

Q.
TePRu | PBE | relaxed

Calculated values
V ... 19.08 A^3/atom
Calculated density ... 7.5 g/cm3
M_tot ... 0.00 μB per formula unit

Unit cell a=4.3257 b=4.3257 c=4.3257 alpha=60.00 beta=60.00 gamma=60.00
Closest atoms and distances in Å follow each position.
Fractional coordinates of all 3 atoms:
1 Te 0.0000 0.0000 0.0000  4 Ru 2.65
2 P 0.5000 0.5000 0.5000  4 Ru 2.65
3 Ru 0.7500 0.7500 0.7500  4 Te 2.65, 4 P 2.65

Of them, P has the highest stability.

P.
ThP3Ru3 | PBE | relaxed

Calculated values
V ... 18.64 A^3/atom
Calculated density ... 8.0 g/cm3
M_tot ... 0.00 μB per formula unit

Unit cell a=6.3900 b=6.3900 c=6.3900 alpha=90.00 beta=90.00 gamma=90.00
Closest atoms and distances in Å follow each position.
Fractional coordinates of all 14 atoms:
1 Th 0.0000 0.0000 0.0000  12 Ru 3.57, 12 P 3.57
2 Th 0.5000 0.5000 0.5000  12 Ru 3.57, 12 P 3.57
3 P 0.0000 0.2500 0.5000  4 Ru 2.26
4 P 0.0000 0.7500 0.5000  4 Ru 2.26
5 P 0.2500 0.5000 0.0000  4 Ru 2.26
6 P 0.5000 0.0000 0.2500  4 Ru 2.26
7 P 0.5000 0.0000 0.7500  4 Ru 2.26
8 P 0.7500 0.5000 0.0000  4 Ru 2.26
9 Ru 0.0000 0.5000 0.2500  4 P 2.26
10 Ru 0.0000 0.5000 0.7500  4 P 2.26
11 Ru 0.2500 0.0000 0.5000  4 P 2.26
12 Ru 0.5000 0.2500 0.0000  4 P 2.26
13 Ru 0.5000 0.7500 0.0000  4 P 2.26
14 Ru 0.7500 0.0000 0.5000  4 P 2.26

Q.
ThP3Ru3 | PBE | relaxed

Calculated values
V ... 18.84 A^3/atom
Calculated density ... 7.9 g/cm3
M_tot ... 0.00 μB per formula unit

Unit cell a=7.7837 b=7.7837 c=7.7837 alpha=51.14 beta=51.14 gamma=51.14
Closest atoms and distances in Å follow each position.
Fractional coordinates of all 14 atoms:
1 Th 0.1672 0.1672 0.1672  6 P 2.97-2.98, 6 Ru 3.29-3.33
2 Th 0.8328 0.8328 0.8328  6 P 2.97-2.98, 6 Ru 3.29-3.33
3 P 0.0916 0.4032 0.7245  4 Ru 2.29-2.39
4 P 0.2755 0.9084 0.5968  4 Ru 2.29-2.39
5 P 0.4032 0.7245 0.0916  4 Ru 2.29-2.39
6 P 0.5968 0.2755 0.9084  4 Ru 2.29-2.39
7 P 0.7245 0.0916 0.4032  4 Ru 2.29-2.39
8 P 0.9084 0.5968 0.2755  4 Ru 2.29-2.39
9 Ru 0.0329 0.7200 0.3818  4 P 2.29-2.39
10 Ru 0.2800 0.6182 0.9671  4 P 2.29-2.39
11 Ru 0.3818 0.0329 0.7200  4 P 2.29-2.39
12 Ru 0.6182 0.9671 0.2800  4 P 2.29-2.39
13 Ru 0.7200 0.3818 0.0329  4 P 2.29-2.39
14 Ru 0.9671 0.2800 0.6182  4 P 2.29-2.39

Of them, Q has the highest stability.

P.
Ti2PRu | PBE | relaxed

Calculated values
V ... 15.42 A^3/atom
Calculated density ... 6.1 g/cm3
M_tot ... 0.00 μB per formula unit

Unit cell a=5.4961 b=5.4961 c=5.4961 alpha=103.71 beta=103.71 gamma=121.74
Closest atoms and distances in Å follow each position.
Fractional coordinates of all 8 atoms:
1 Ti 0.1167 0.6250 0.9917  2 P 2.45, 2 Ru 2.53, 2 Ti 2.68
2 Ti 0.3750 0.3667 0.4917  2 P 2.45, 2 Ru 2.53, 2 Ti 2.68
3 Ti 0.6333 0.1250 0.0083  2 P 2.45, 2 Ru 2.53, 2 Ti 2.68
4 Ti 0.8750 0.8833 0.5083  2 P 2.45, 2 Ru 2.53, 2 Ti 2.68
5 P 0.0000 0.0000 0.0000  4 Ti 2.45, 2 Ru 2.68
6 P 0.7500 0.2500 0.5000  4 Ti 2.45, 2 Ru 2.68
7 Ru 0.2500 0.7500 0.5000  4 Ti 2.53, 2 P 2.68
8 Ru 0.5000 0.5000 0.0000  4 Ti 2.53, 2 P 2.68

Q.
Ti2PRu | PBE | relaxed

Calculated values
V ... 14.38 A^3/atom
Calculated density ... 6.6 g/cm3
M_tot ... 0.00 μB per formula unit

Unit cell a=4.3328 b=4.3328 c=4.3328 alpha=60.00 beta=60.00 gamma=60.00
Closest atoms and distances in Å follow each position.
Fractional coordinates of all 4 atoms:
1 Ti 0.2500 0.2500 0.2500  4 Ru 2.65, 4 P 2.65
2 Ti 0.7500 0.7500 0.7500  4 Ru 2.65, 4 P 2.65
3 P 0.0000 0.0000 0.0000  8 Ti 2.65
4 Ru 0.5000 0.5000 0.5000  8 Ti 2.65

Of them, Q has the highest stability.

P.
Tl2PRu | PBE | relaxed

Calculated values
V ... 19.59 A^3/atom
Calculated density ... 11.5 g/cm3
M_tot ... 0.00 μB per formula unit

Unit cell a=3.5803 b=3.5803 c=6.1135 alpha=90.00 beta=90.00 gamma=90.00
Closest atoms and distances in Å follow each position.
Fractional coordinates of all 4 atoms:
1 Tl 0.0000 0.0000 0.2466  4 Ru 2.95, 4 P 2.97, 2 Tl 3.01-3.10
2 Tl 0.0000 0.0000 0.7534  4 Ru 2.95, 4 P 2.97, 2 Tl 3.01-3.10
3 P 0.5000 0.5000 0.5000  8 Tl 2.97, 2 Ru 3.06
4 Ru 0.5000 0.5000 0.0000  8 Tl 2.95, 2 P 3.06

Q.
Tl2PRu | PBE | relaxed

Calculated values
V ... 19.85 A^3/atom
Calculated density ... 11.3 g/cm3
M_tot ... 0.00 μB per formula unit

Unit cell a=5.3643 b=5.3643 c=5.3643 alpha=140.74 beta=124.14 gamma=70.40
Closest atoms and distances in Å follow each position.
Fractional coordinates of all 4 atoms:
1 Tl 0.2485 0.2485 0.0000  2 P 2.83, 2 Ru 2.85, 4 Tl 3.09
2 Tl 0.7515 0.7515 0.0000  2 P 2.83, 2 Ru 2.85, 4 Tl 3.09
3 P 0.0000 0.5000 0.5000  4 Tl 2.83, 4 Ru 3.09
4 Ru 0.5000 0.0000 0.5000  4 Tl 2.85, 4 P 3.09

Of them, P has the highest stability.

P.
Tl2PRu | PBE | relaxed

Calculated values
V ... 20.14 A^3/atom
Calculated density ... 11.1 g/cm3
M_tot ... 0.00 μB per formula unit

Unit cell a=4.8481 b=4.8481 c=4.8481 alpha=60.00 beta=60.00 gamma=60.00
Closest atoms and distances in Å follow each position.
Fractional coordinates of all 4 atoms:
1 Tl 0.2500 0.2500 0.2500  4 Ru 2.97, 4 P 2.97
2 Tl 0.7500 0.7500 0.7500  4 Ru 2.97, 4 P 2.97
3 P 0.0000 0.0000 0.0000  8 Tl 2.97
4 Ru 0.5000 0.5000 0.5000  8 Tl 2.97

Q.
Tl2PRu | PBE | relaxed

Calculated values
V ... 21.54 A^3/atom
Calculated density ... 10.4 g/cm3
M_tot ... 0.00 μB per formula unit

Unit cell a=3.1119 b=3.1119 c=8.8958 alpha=90.00 beta=90.00 gamma=90.00
Closest atoms and distances in Å follow each position.
Fractional coordinates of all 4 atoms:
1 Tl 0.0000 0.0000 0.0000  4 Tl 3.11, 4 Ru 3.24, 1 P 3.35
2 Tl 0.5000 0.5000 0.3539  4 Tl 3.11, 4 P 3.26, 1 Ru 3.37
3 P 0.0000 0.0000 0.6235  4 Ru 2.41
4 Ru 0.5000 0.5000 0.7330  4 P 2.41

R.
Tl2PRu | PBE | relaxed

Calculated values
V ... 22.81 A^3/atom
Calculated density ... 9.8 g/cm3
M_tot ... 0.00 μB per formula unit

Unit cell a=6.8879 b=6.8879 c=6.8879 alpha=153.89 beta=140.46 gamma=48.00
Closest atoms and distances in Å follow each position.
Fractional coordinates of all 4 atoms:
1 Tl 0.0000 0.0000 0.0000  4 Tl 3.11-3.39, 4 P 3.19, 2 Ru 3.47
2 Tl 0.6961 0.1961 0.5000  4 Ru 2.87, 2 Tl 3.11
3 P 0.3786 0.3786 0.0000  2 Ru 2.28
4 Ru 0.2464 0.7464 0.5000  2 P 2.28

Of them, Q has the highest stability.

P.
Tl2PRu | PBE | relaxed

Calculated values
V ... 19.74 A^3/atom
Calculated density ... 11.4 g/cm3
M_tot ... 0.00 μB per formula unit

Unit cell a=5.0524 b=5.0524 c=3.2055 alpha=90.00 beta=90.00 gamma=105.24
Closest atoms and distances in Å follow each position.
Fractional coordinates of all 4 atoms:
1 Tl 0.0000 0.5000 0.0000  4 Ru 2.99, 4 P 2.99, 4 Tl 3.07-3.21
2 Tl 0.5000 0.0000 0.0000  4 Ru 2.99, 4 P 2.99, 4 Tl 3.07-3.21
3 P 0.0000 0.0000 0.5000  8 Tl 2.99, 2 Ru 3.07, 2 P 3.21
4 Ru 0.5000 0.5000 0.5000  8 Tl 2.99, 2 P 3.07, 2 Ru 3.21

Q.
Tl2PRu | PBE | relaxed

Calculated values
V ... 20.50 A^3/atom
Calculated density ... 11.0 g/cm3
M_tot ... 0.72 μB per formula unit

Unit cell a=3.1628 b=3.1628 c=8.4989 alpha=90.00 beta=90.00 gamma=105.32
Closest atoms and distances in Å follow each position.
Fractional coordinates of all 4 atoms:
1 Tl 0.0000 0.0000 0.2373  2 Ru 2.78, 2 P 2.94
2 Tl 0.0000 0.0000 0.7627  2 Ru 2.78, 2 P 2.94
3 P 0.5000 0.5000 0.5000  4 Tl 2.94, 4 P 3.16
4 Ru 0.5000 0.5000 0.0000  4 Tl 2.78

Of them, P has the highest stability.